Density functional theory data (PBE) for CeNdZnCu after structural relaxation.

```
4
Lattice="0.000 3.620 3.620 3.620 0.000 3.620 3.620 3.620 0.000" Properties=species:S:1:pos:R:3 pbc="T T T"
Ce 0.000 0.000 0.000
Nd 3.620 3.620 3.620
Zn 1.810 1.810 1.810
Cu 5.429 5.429 5.429
```

Summary:
The density of states at the Fermi level is 9.1 states/eV per cell. As for the formation energy: -0.13 eV per atom. The value obtained for the electronic total energy is -4.15 eV per atom.

Density functional theory data (PBE) for Ac2ZnH6Ru after structural relaxation.

```
10
Lattice="0.000 3.804 4.334 3.796 0.000 4.334 3.796 3.804 0.000" Properties=species:S:1:pos:R:3 pbc="T T T"
Ac 1.898 1.902 2.167
Ac 5.694 5.705 6.500
Zn 0.000 0.000 0.000
H 5.542 3.804 4.334
H 3.796 2.058 4.334
H 3.796 3.804 2.563
H 3.796 3.804 6.104
H 3.796 5.549 4.334
H 2.050 3.804 4.334
Ru 3.796 3.804 4.334
```

Summary:
The density of states at the Fermi level is 2.7 states/eV per cell. The value obtained for the electronic total energy is -4.22 eV per atom.

Density functional theory data (PBE) for Cs3Hg6Au after structural relaxation.

```
20
Lattice="6.989 4.035 4.778 -6.989 4.035 4.778 0.000 -8.070 4.778" Properties=species:S:1:pos:R:3 pbc="T T T"
Cs -4.150 0.882 5.972
Cs -2.839 -3.152 8.361
Cs 1.311 -4.035 5.972
Cs -1.311 4.035 8.361
Cs 2.839 3.152 5.972
Cs 4.150 -0.882 8.361
Hg -0.584 -1.969 2.145
Hg -1.413 1.490 2.145
Hg -1.413 -1.490 5.022
Hg 1.997 0.479 2.145
Hg -0.584 1.969 5.022
Hg 1.997 -0.479 5.022
Hg -1.997 0.479 9.312
Hg 0.584 -1.969 9.312
Hg -1.997 -0.479 12.188
Hg 1.413 1.490 9.312
Hg 1.413 -1.490 12.188
Hg 0.584 1.969 12.188
Au 0.000 0.000 0.000
Au 0.000 0.000 7.167
```

Summary:
The density of states at the Fermi level is 13.1 states/eV per cell. As for the formation energy: -0.22 eV per atom. The value obtained for the electronic total energy is -0.98 eV per atom.

Density functional theory data (PBE) for BP2Au after structural relaxation.

```
4
Lattice="1.558 0.900 7.422 -1.558 0.900 7.422 0.000 -1.799 7.422" Properties=species:S:1:pos:R:3 pbc="T T T"
B 0.000 0.000 0.000
P 0.000 0.000 15.533
P 0.000 0.000 20.323
Au 0.000 0.000 17.905
```

Summary:
The density of states at the Fermi level is 2.2 states/eV per cell. As for the formation energy: 0.07 eV per atom. The value obtained for the electronic total energy is -5.13 eV per atom.

Density functional theory data (PBE) for AcHoInIr after structural relaxation.

```
4
Lattice="0.000 3.750 3.750 3.750 0.000 3.750 3.750 3.750 0.000" Properties=species:S:1:pos:R:3 pbc="T T T"
Ac 0.000 0.000 0.000
Ho 3.750 3.750 3.750
In 5.626 5.626 5.626
Ir 1.875 1.875 1.875
```

Summary:
The density of states at the Fermi level is 3.9 states/eV per cell. As for the formation energy: -0.35 eV per atom. The value obtained for the electronic total energy is -5.42 eV per atom.

Density functional theory data (PBE) for Cs2DyTh2Te6 after structural relaxation.

```
11
Lattice="3.883 -6.712 0.000 3.883 6.712 0.000 -2.614 0.000 9.276" Properties=species:S:1:pos:R:3 pbc="T T T"
Cs 3.883 4.460 0.000
Cs 3.883 -4.460 0.000
Dy -1.307 0.000 4.638
Th 2.576 2.243 4.638
Th 2.576 -2.243 4.638
Te -0.018 2.195 6.440
Te 1.260 0.000 2.840
Te -0.018 -2.195 6.440
Te 5.171 2.195 2.836
Te 3.893 0.000 6.435
Te 5.171 -2.195 2.836
```

Summary:
The value obtained for the energy relative to the elements, uncorrected is -1280 meV per atom. The density of states at the Fermi level is 5.4 states/eV per cell. The value obtained for the electronic total energy is -4.92 eV per atom.